Entry 1:
Density functional theory data (PBE-GGA) for MnIn3 after structural relaxation.

It has space group P2/m (No. 10), with a = 3.1553 Å, b = 4.1345 Å, c = 6.9261 Å, α = 90.00°, β = 90.27° and γ = 90.00°. The inequivalent atoms are Mn at (0.0000, 0.0000, 0.0000), In at (0.0000, 0.0000, 0.5000) and In at (0.4991, 0.5000, 0.2189).

The total energy comes out at -4.115 eV per atom. As for the energy of formation from the pure elements: 0.231 eV per atom.



Entry 2:
Density functional theory data (PBE-GGA) for MnIn3 after structural relaxation.

It has space group Fm-3m (No. 225), with a = 7.2327 Å, b = 7.2327 Å, c = 7.2327 Å, α = 90.00°, β = 90.00° and γ = 90.00°. The inequivalent atoms are Mn at (0.0000, 0.0000, 0.0000), In at (0.0000, 0.0000, 0.5000) and In at (0.2500, 0.2500, 0.2500).

The total energy comes out at -3.990 eV per atom. As for the energy of formation from the pure elements: 0.356 eV per atom.



Entry 3:
Density functional theory data (PBE-GGA) for Mn3In after structural relaxation.

It has space group Pm-3n (No. 223), with a = 5.0372 Å, b = 5.0372 Å, c = 5.0372 Å, α = 90.00°, β = 90.00° and γ = 90.00°. The inequivalent atoms are Mn at (0.0000, 0.2500, 0.5000) and In at (0.0000, 0.0000, 0.0000).

The total energy comes out at -7.172 eV per atom. As for the energy of formation from the pure elements: 0.390 eV per atom.



Entry 4:
Density functional theory data (PBE-GGA) for Mn2In after structural relaxation.

It has space group Fd-3m (No. 227, origin choice 2), with a = 7.0315 Å, b = 7.0315 Å, c = 7.0315 Å, α = 90.00°, β = 90.00° and γ = 90.00°. The inequivalent atoms are Mn at (0.0000, 0.0000, 0.0000) and In at (0.1250, 0.1250, 0.6250).

The total energy comes out at -6.684 eV per atom. As for the energy of formation from the pure elements: 0.342 eV per atom.



Entry 5:
Density functional theory data (PBE-GGA) for Mn5In4 after structural relaxation.

It has space group P6_3/mcm (No. 193), with a = 8.0657 Å, b = 8.0657 Å, c = 5.6451 Å, α = 90.00°, β = 90.00° and γ = 120.00°. The inequivalent atoms are Mn at (0.0000, 0.3040, 0.2500), Mn at (0.3333, 0.6667, 0.0000), In at (0.0000, 0.0000, 0.0000) and In at (0.0000, 0.3690, 0.7500).

The total energy comes out at -6.015 eV per atom. As for the energy of formation from the pure elements: 0.296 eV per atom.



Entry 6:
Density functional theory data (PBE-GGA) for Mn3In2 after structural relaxation.

It has space group P-3m1 (No. 164), with a = 4.5445 Å, b = 4.5445 Å, c = 5.6310 Å, α = 90.00°, β = 90.00° and γ = 120.00°. The inequivalent atoms are Mn at (0.0000, 0.0000, 0.0000), Mn at (0.3333, 0.6667, 0.3388) and In at (0.3333, 0.6667, 0.8172).

The total energy comes out at -6.059 eV per atom. As for the energy of formation from the pure elements: 0.538 eV per atom.



Entry 7:
Density functional theory data (PBE-GGA) for Mn3In after structural relaxation.

It has space group R-3m (No. 166, hexagonal axes), with a = 2.9277 Å, b = 2.9277 Å, c = 25.4703 Å, α = 90.00°, β = 90.00° and γ = 120.00°. The inequivalent atoms are Mn at (0.0000, 0.0000, 0.0000), Mn at (0.0000, 0.0000, 0.2592) and In at (0.0000, 0.0000, 0.5000).

The total energy comes out at -7.177 eV per atom. As for the energy of formation from the pure elements: 0.385 eV per atom.



Entry 8:
Density functional theory data (PBE-GGA) for Mn3In5 after structural relaxation.

It has space group Cmmm (No. 65), with a = 8.6316 Å, b = 8.7182 Å, c = 4.2289 Å, α = 90.00°, β = 90.00° and γ = 90.00°. The inequivalent atoms are Mn at (0.0000, 0.0000, 0.0000), Mn at (0.0000, 0.2493, 0.5000), In at (0.0000, 0.5000, 0.0000), In at (0.2228, 0.0000, 0.5000) and In at (0.2500, 0.2500, 0.0000).

The total energy comes out at -4.903 eV per atom. As for the energy of formation from the pure elements: 0.247 eV per atom.



Entry 9:
Density functional theory data (PBE-GGA) for Mn4In5 after structural relaxation.

It has space group I4/mmm (No. 139), with a = 9.0924 Å, b = 9.0924 Å, c = 4.2389 Å, α = 90.00°, β = 90.00° and γ = 90.00°. The inequivalent atoms are Mn at (0.0000, 0.3489, 0.0000), In at (0.0000, 0.0000, 0.0000) and In at (0.1728, 0.1728, 0.5000).

The total energy comes out at -5.293 eV per atom. As for the energy of formation from the pure elements: 0.304 eV per atom.



Entry 10:
Density functional theory data (PBE-GGA) for MnIn3 after structural relaxation.

It has space group R-3m (No. 166, hexagonal axes), with a = 3.2853 Å, b = 3.2853 Å, c = 29.1840 Å, α = 90.00°, β = 90.00° and γ = 120.00°. The inequivalent atoms are Mn at (0.0000, 0.0000, 0.0000), In at (0.0000, 0.0000, 0.2588) and In at (0.0000, 0.0000, 0.5000).

The total energy comes out at -4.146 eV per atom. As for the energy of formation from the pure elements: 0.200 eV per atom.



Entry 11:
Density functional theory data (PBE-GGA) for Mn3In after structural relaxation.

It has space group P4/mmm (No. 123), with a = 4.5082 Å, b = 4.5082 Å, c = 3.0457 Å, α = 90.00°, β = 90.00° and γ = 90.00°. The inequivalent atoms are Mn at (0.0000, 0.0000, 0.0000), Mn at (0.0000, 0.5000, 0.5000) and In at (0.5000, 0.5000, 0.0000).

The total energy comes out at -7.150 eV per atom. As for the energy of formation from the pure elements: 0.412 eV per atom.



Entry 12:
Density functional theory data (PBE-GGA) for Mn2In3 after structural relaxation.

It has space group R-3m (No. 166, hexagonal axes), with a = 3.1804 Å, b = 3.1804 Å, c = 34.5404 Å, α = 90.00°, β = 90.00° and γ = 120.00°. The inequivalent atoms are Mn at (0.0000, 0.0000, 0.1032), In at (0.0000, 0.0000, 0.2943) and In at (0.0000, 0.0000, 0.5000).

The total energy comes out at -5.008 eV per atom. As for the energy of formation from the pure elements: 0.303 eV per atom.



Q: What is the formula in the eighth record?
A: Mn3In5